Run one
Tb6Tm3Cd | PBE-GGA | optimized geometry

abc: 9.6734 20.0555 6.2810
angles: 90.00 90.00 90.00
With the nearest neighbours (Å) after each atom.
Space group Cmc2_1 (No. 36)
Inequivalent atoms, fractional coordinates:
Tb1 0.0000 0.0193 0.0000 x4  1 Cd 3.08, 2 Tb 3.23, 2 Tm 3.41
Tb2 0.0000 0.2843 0.9621 x4  1 Cd 3.15, 1 Tm 3.19, 4 Tb 3.29-3.38
Tb3 0.1819 0.2834 0.5187 x8  3 Tm 3.21-3.53, 4 Tb 3.29-3.52
Tb4 0.1831 0.4444 0.7357 x8  3 Tm 3.36-3.52, 3 Tb 3.48-3.54, 1 Cd 3.64
Tm1 0.0000 0.4130 0.2615 x4  7 Tb 3.19-3.53, 2 Tm 3.34
Tm2 0.1700 0.1254 0.6655 x8  1 Cd 3.19, 5 Tb 3.21-3.49, 2 Tm 3.29-3.34
Cd1 0.0000 0.1532 0.2388 x4  2 Tb 3.08-3.15, 2 Tm 3.19

Output
- Size of the total moment: 0.00 μB/cell
- Crystal system: orthorhombic

***

Run two
Tb6Tm3Cd | PBE-GGA | optimized geometry

abc: 10.9377 4.9828 11.1266
angles: 90.00 91.36 90.00
With the nearest neighbours (Å) after each atom.
Space group P2_1/m (No. 11)
Inequivalent atoms, fractional coordinates:
Tb1 0.0471 0.2500 0.3970 x2  1 Cd 3.40, 7 Tb 3.45-3.58, 4 Tm 3.48-3.50
Tb2 0.1408 0.7500 0.1869 x2  3 Cd 3.37, 5 Tb 3.47-3.58, 4 Tm 3.53-3.58
Tb3 0.1531 0.2500 0.6925 x2  8 Tb 3.42-3.51, 2 Tm 3.51, 2 Cd 3.56
Tb4 0.2392 0.2500 0.9951 x2  3 Cd 3.40-3.43, 5 Tb 3.47-3.54, 4 Tm 3.50-3.60
Tb5 0.3477 0.7500 0.7987 x2  1 Cd 3.44, 6 Tb 3.47-3.54, 5 Tm 3.50-3.54
Tb6 0.4496 0.2500 0.6021 x2  5 Tb 3.42-3.56, 7 Tm 3.48-3.59
Tm1 0.2484 0.7500 0.4932 x2  10 Tb 3.48-3.58, 2 Tm 3.52
Tm2 0.3472 0.2500 0.2936 x2  4 Tm 3.50-3.52, 8 Tb 3.50-3.59
Tm3 0.4486 0.7500 0.0992 x2  8 Tb 3.48-3.60, 4 Tm 3.50-3.53
Cd1 0.0510 0.7500 0.8956 x2  10 Tb 3.37-3.56, 2 Cd 3.60

Output
- Size of the total moment: 0.00 μB/cell
- Crystal system: monoclinic

***

In terms of stability, run two leads; the second structure lies 6.7 kJ/mol of atoms higher.

***

Run one
Tb2TmCd4 | PBE-GGA | optimized geometry

abc: 5.3061 5.3061 13.8130
angles: 90.00 90.00 90.00
With the nearest neighbours (Å) after each atom.
Space group I4/mmm (No. 139)
Inequivalent atoms, fractional coordinates:
Tb1 0.0000 0.0000 0.2421 x4  8 Cd 3.20-3.32, 1 Tm 3.56
Tm1 0.0000 0.0000 0.5000 x2  8 Cd 3.08
Cd1 0.0000 0.5000 0.1129 x8  2 Tm 3.08, 1 Cd 3.12, 4 Tb 3.20-3.32

Output
- Size of the total moment: 0.43 μB/cell
- Crystal system: tetragonal

***

Run two
Tb2TmCd4 | PBE-GGA | optimized geometry

abc: 5.5592 5.5592 15.5967
angles: 90.00 90.00 90.00
With the nearest neighbours (Å) after each atom.
Space group I4/mmm (No. 139)
Inequivalent atoms, fractional coordinates:
Tb1 0.0000 0.0000 0.1040 x4  5 Cd 3.16-3.22, 1 Tb 3.24
Tm1 0.0000 0.0000 0.5000 x2  6 Cd 2.78-3.02
Cd1 0.0000 0.0000 0.3064 x4  1 Tm 3.02, 1 Tb 3.16
Cd2 0.0000 0.5000 0.0000 x4  2 Tm 2.78

Output
- Size of the total moment: 0.00 μB/cell
- Crystal system: tetragonal

***

In terms of stability, run one leads; the second structure lies 42.3 kJ/mol of atoms higher.

***

Run one
Tb6Tm2Cd | PBE-GGA | optimized geometry

abc: 17.5209 9.5779 3.4797
angles: 90.00 101.44 90.00
With the nearest neighbours (Å) after each atom.
Space group C2/m (No. 12)
Inequivalent atoms, fractional coordinates:
Tb1 0.0000 0.2044 0.0000 x4  2 Cd 3.32, 2 Tm 3.42, 6 Tb 3.48-3.52
Tb2 0.1665 0.3156 0.6694 x8  1 Cd 3.36, 3 Tm 3.42-3.50, 7 Tb 3.48-3.59
Tm1 0.1632 0.0000 0.1713 x4  8 Tb 3.42-3.50, 2 Tm 3.48
Cd1 0.0000 0.5000 0.5000 x2  8 Tb 3.32-3.36, 2 Cd 3.48

Output
- Size of the total moment: 0.00 μB/cell
- Crystal system: monoclinic

***

Run two
Tb6Tm2Cd | PBE-GGA | optimized geometry

abc: 20.5097 9.1243 6.1094
angles: 90.00 107.30 90.00
With the nearest neighbours (Å) after each atom.
Space group C2/c (No. 15)
Inequivalent atoms, fractional coordinates:
Tb1 0.0785 0.0735 0.2132 x8  2 Cd 3.25-3.42, 6 Tb 3.34-3.52, 1 Tm 3.51
Tb2 0.0792 0.4242 0.4387 x8  2 Cd 3.25-3.40, 6 Tb 3.35-3.51, 1 Tm 3.52
Tb3 0.1692 0.2510 0.9194 x8  5 Tb 3.16-3.52, 1 Cd 3.31, 4 Tm 3.41-3.48
Tm1 0.2493 0.0792 0.5601 x8  3 Tm 3.20-3.38, 6 Tb 3.41-3.52
Cd1 0.0000 0.2521 0.7500 x4  10 Tb 3.25-3.42

Output
- Size of the total moment: 0.00 μB/cell
- Crystal system: monoclinic

***

In terms of stability, run two leads; the second structure lies 8.6 kJ/mol of atoms higher.